Record 1
Pm2Nd3Sm (PBE-GGA, relaxed); crystal system = orthorhombic; final energy = -50.56 eV for the cell shown; calculated formation energy = 540 meV/atom
1.0
-5.679 6.041 3.496
5.679 -6.041 3.496
5.679 6.041 -3.496
Pm Nd Sm
4 6 2
direct
0.201 0.244 0.445
0.299 0.744 0.044
0.701 0.256 0.956
0.799 0.756 0.555
0.015 0.750 0.265
0.250 0.250 0.000
0.485 0.750 0.735
0.515 0.250 0.265
0.750 0.750 0.000
0.985 0.250 0.735
0.000 0.500 0.500
0.500 0.000 0.500

=====

Record 2
Ta2CoSe (PBE-GGA, relaxed); crystal system = tetragonal; final energy = -64.18 eV for the cell shown
1.0
-2.755 2.755 5.827
2.755 -2.755 5.827
2.755 2.755 -5.827
Ta Co Se
4 2 2
direct
0.079 0.625 0.954
0.375 0.329 0.454
0.671 0.125 0.046
0.875 0.921 0.546
0.000 0.000 0.000
0.750 0.250 0.500
0.250 0.750 0.500
0.500 0.500 0.000

=====

> final energy of number 1 (Pm2Nd3Sm)?

-50.56 eV for the cell shown